(1)
Compound: PmAs2Pb
Source: Alexandria via LeMat-Bulk
Functional: PBE-GGA
Structure: relaxed

```
4
Lattice="4.994 0.000 0.000 0.000 4.994 0.000 0.000 0.000 3.919" Properties=species:S:1:pos:R:3 pbc="T T T"
Pm 0.000 0.000 0.000
As 0.000 2.497 1.960
As 2.497 0.000 1.960
Pb 2.497 2.497 0.000
```

## Properties
SG   P4/mmm
Electronic total energy   -4.99 eV/atom
Crystal system   tetragonal
Formation energy   -554 meV per atom
Density of states at the Fermi level   0.579 states/eV/atom
E above lowest polymorph   28.0 meV per atom


(2)
Compound: PmAs2Pb
Source: Alexandria via LeMat-Bulk
Functional: PBE-GGA
Structure: relaxed

```
4
Lattice="0.000 3.693 3.693 3.693 0.000 3.693 3.693 3.693 0.000" Properties=species:S:1:pos:R:3 pbc="T T T"
Pm 0.000 0.000 0.000
As 1.847 1.847 1.847
As 5.540 5.540 5.540
Pb 3.693 3.693 3.693
```

## Properties
SG   Fm-3m
Electronic total energy   -4.89 eV/atom
Crystal system   cubic
Formation energy   -454 meV per atom
Density of states at the Fermi level   0.782 states/eV/atom
E above lowest polymorph   127.6 meV per atom


(3)
Compound: Pm2AsPb
Source: Alexandria via LeMat-Bulk
Functional: PBE-GGA
Structure: relaxed

```
4
Lattice="2.041 1.178 8.365 -2.041 1.178 8.365 0.000 -2.357 8.365" Properties=species:S:1:pos:R:3 pbc="T T T"
Pm 0.000 0.000 0.000
Pm 0.000 0.000 4.946
As 0.000 0.000 15.039
Pb 0.000 0.000 10.822
```

## Properties
SG   R3m
Electronic total energy   -5.42 eV/atom
Crystal system   trigonal
Formation energy   -952 meV per atom
Density of states at the Fermi level   0.550 states/eV/atom
E above lowest polymorph   51.3 meV per atom